A plane-wave DFT calculation with GGA-PBE was carried out for a geometry-optimized KCoOs2 structure.

## Properties
* DOS(E_F): 6.90 states/eV per cell
* density: 11.767 g/cm³
* spin magnetization: 0.5668 μB per atom
* distance to the lowest polymorph of the same formula: 954 meV per atom
* symmetry: No. 139

Cell: 5.515 5.515 5.515 Å, 140.42 140.42 57.22°
Last column: magnetic moment on the atom in μB.
Atoms (fractional coordinates):
Os1 0.000 0.000 0.000  0.24
K1 0.750 0.250 0.500  -0.01
Os2 0.500 0.500 0.000  0.24
Co1 0.250 0.750 0.500  1.80